(1)
{
  "formula": "RbGa2Au2",
  "functional": "PBE-GGA",
  "state": "relaxed",
  "final_energy_ev_per_atom": -3.002,
  "lattice_angstrom": [[3.806, -6.286, 0.000], [3.806, 6.286, 0.000], [-3.698, 0.000, 5.797]],
  "species": ["Rb", "Rb", "Ga", "Ga", "Ga", "Ga", "Au", "Au", "Au", "Au"],
  "frac_coords": [[0.124, 0.876, 0.750], [0.876, 0.124, 0.250], [0.245, 0.495, 0.997], [0.495, 0.245, 0.497], [0.505, 0.755, 0.503], [0.755, 0.505, 0.003], [0.199, 0.801, 0.250], [0.450, 0.550, 0.750], [0.550, 0.450, 0.250], [0.801, 0.199, 0.750]]
}

***

(2)
{
  "formula": "Nb2Cu2N",
  "functional": "PBE-GGA",
  "state": "relaxed",
  "e_form_raw_ev_per_atom": 0.405,
  "lattice_angstrom": [[3.068, 0.000, 0.000], [0.000, 3.068, 0.000], [0.000, 0.000, 14.437]],
  "species": ["Nb", "Nb", "Nb", "Nb", "Cu", "Cu", "Cu", "Cu", "N", "N"],
  "frac_coords": [[0.000, 0.000, 0.089], [0.000, 0.000, 0.911], [0.500, 0.500, 0.411], [0.500, 0.500, 0.589], [0.000, 0.500, 0.250], [0.000, 0.500, 0.750], [0.500, 0.000, 0.250], [0.500, 0.000, 0.750], [0.000, 0.000, 0.500], [0.500, 0.500, 0.000]]
}

***

M_tot (computed, μB/cell): 0.00; 0.00